1.
Entry from Alexandria via LeMat-Bulk: ZrCo2Sn2 after structural relaxation (GGA-PBE).

Unit cell a=7.3362 b=7.3362 c=3.1394 alpha=90.00 beta=90.00 gamma=90.00
Closest atoms and distances in Å follow each position.
Space group P4/mbm (No. 127)
Unique sites:
Zr 0.0000 0.0000 0.0000 x2  4 Co 2.88, 2 Zr 3.14, 8 Sn 3.16
Co 0.1296 0.3704 0.0000 x4  6 Sn 2.66-2.67, 1 Co 2.69, 2 Zr 2.88
Sn 0.1635 0.6635 0.5000 x4  6 Co 2.66-2.67

Output
ΔE_f ... -0.112 eV/atom
Raw total energy ... -6.26 eV/atom
Density ... 8.78 g/cm3
Crystal system ... tetragonal
Magnetic moment ... 0.431 μB/f.u.



2.
Entry from Alexandria via LeMat-Bulk: BaLi2N after structural relaxation (GGA-PBE).

Unit cell a=5.8830 b=5.8830 c=9.5666 alpha=90.00 beta=90.00 gamma=90.00
Closest atoms and distances in Å follow each position.
Space group I4_1/amd (No. 141, origin choice 2)
Unique sites:
Ba 0.0000 0.2500 0.3750 x4  12 Li 3.50-3.88, 4 Ba 3.79, 4 N 3.79
Li 0.0000 0.0000 0.0000 x8  2 N 1.90
N 0.0000 0.2500 0.8750 x4  4 Li 1.90

Output
Raw total energy ... -3.49 eV/atom
Density ... 3.31 g/cm3
Crystal system ... tetragonal
Magnetic moment ... 0.728 μB/f.u.
E_form (uncorrected) ... 0.10 eV per formula unit



3.
Entry from Alexandria via LeMat-Bulk: CuHCl2 after structural relaxation (GGA-PBE).

Unit cell a=12.9827 b=5.6074 c=5.7075 alpha=90.00 beta=115.82 gamma=90.00
Closest atoms and distances in Å follow each position.
Space group Cm (No. 8)
Unique sites:
Cu 0.0000 0.2501 0.0000 x4  2 Cl 2.14
H 0.1695 0.0000 0.6274 x2  1 Cl 1.30
H 0.1732 0.5000 0.7164 x2  1 Cl 1.30
Cl 0.2341 0.0000 0.5061 x2  1 H 1.30
Cl 0.2351 0.5000 0.9665 x2  1 H 1.30
Cl 0.4961 0.5000 0.7121 x2  2 Cu 2.14
Cl 0.4968 0.0000 0.2810 x2  2 Cu 2.14

Output
Raw total energy ... -3.23 eV/atom
Density ... 2.41 g/cm3
Crystal system ... monoclinic
Magnetic moment ... 0.000 μB/f.u.